No. 1
# ZrPa2SiN6

An optimized crystal structure of ZrPa2SiN6 (PBE, Alexandria).

abc: 5.2404 5.2404 4.8914
angles: 90.00 90.00 90.00
Space group P4mm (No. 99)
Unique sites:
1 Zr 0.0000 0.0000 0.0000 x1
2 Pa 0.0000 0.5000 0.4293 x2
3 Si 0.5000 0.5000 0.0263 x1
4 N 0.0000 0.0000 0.5813 x1
5 N 0.2658 0.2658 0.1633 x4
6 N 0.5000 0.5000 0.6660 x1

***

No. 2
# SiSCl2O

An optimized crystal structure of SiSCl2O (PBE, Alexandria).

abc: 4.5180 4.5180 4.2325
angles: 90.00 90.00 90.00
Space group P4/mmm (No. 123)
Unique sites:
1 Si 0.0000 0.0000 0.0000 x1
2 S 0.5000 0.5000 0.0000 x1
3 Cl 0.0000 0.5000 0.5000 x2
4 O 0.5000 0.5000 0.5000 x1

* relative energy among the computed polymorphs: 0.269 eV per atom

***

Number 1: total magnetization 0.000 μB per cell, uncorrected energy -0.6959 Ry per atom. Number 2: total magnetization 0.000 μB per cell, uncorrected energy -0.2163 Ry per atom.